[1]
Material: La2NdTh3S6
Method: DFT, PBE
State: optimized geometry

Cell: 4.088 8.155 9.154 Å, 103.61 102.90 90.00°
Element x y z (fractional)
1 La 0.834 0.667 0.668
2 La 0.166 0.333 0.332
3 Nd 0.500 0.000 0.000
4 Th 0.500 0.500 0.000
5 Th 0.833 0.167 0.666
6 Th 0.167 0.833 0.334
7 S 0.334 0.921 0.667
8 S 0.666 0.587 0.331
9 S 0.666 0.079 0.333
10 S 0.998 0.250 0.996
11 S 0.002 0.750 0.004
12 S 0.334 0.413 0.669

## Properties
* density: 7.54 g cm⁻³
* N(E_F): 0.679 states/eV per atom
* energy relative to the elements, uncorrected: -2280 kJ/mol of formula units
* energy: -85.281 eV/cell

[2]
Material: LiCd2HgF8
Method: DFT, PBE
State: optimized geometry

Cell: 4.176 5.451 7.217 Å, 86.66 90.09 90.62°
Site moments in Bohr magnetons follow the coordinates.
Element x y z (fractional)
1 Li 0.000 0.000 0.000  0.00
2 Cd 0.501 0.487 0.756  0.01
3 Cd 0.499 0.513 0.244  0.01
4 Hg 0.000 0.000 0.500  0.21
5 F 0.005 0.790 0.241  0.14
6 F 0.512 0.757 0.984  0.11
7 F 0.996 0.288 0.270  0.14
8 F 0.995 0.210 0.759  0.14
9 F 0.488 0.243 0.016  0.11
10 F 0.004 0.712 0.730  0.14
11 F 0.502 0.747 0.491  0.02
12 F 0.498 0.253 0.509  0.02

## Properties
* density: 5.92 g cm⁻³
* N(E_F): 0.546 states/eV per atom
* energy relative to the elements, uncorrected: -2204 kJ/mol of formula units
* energy: -41.855 eV/cell

[3]
Material: TiSiTeN2
Method: DFT, PBE
State: optimized geometry

Cell: 3.925 3.925 5.731 Å, 90.00 90.00 90.00°
Element x y z (fractional)
1 N 0.000 0.500 0.000
2 N 0.500 0.000 0.000
3 Si 0.500 0.500 0.500
4 Te 0.000 0.000 0.500
5 Ti 0.000 0.000 0.000

## Properties
* density: 4.36 g cm⁻³
* polymorph energy (0 for the lowest one): 0.00 eV per formula unit
* N(E_F): 0.482 states/eV per atom
* energy relative to the elements, uncorrected: 253 kJ/mol of formula units
* energy: -30.491 eV/cell

[4]
Material: Cd2ReAs
Method: DFT, PBE
State: optimized geometry

Cell: 4.654 4.654 6.659 Å, 58.05 58.05 41.68°
Site moments in Bohr magnetons follow the coordinates.
Element x y z (fractional)
1 Re 0.532 0.532 0.323  0.31
2 As 0.203 0.203 0.400  -0.01
3 Cd 0.968 0.968 0.016  0.00
4 Cd 0.796 0.796 0.761  0.00

## Properties
* density: 10.21 g cm⁻³
* N(E_F): 0.382 states/eV per atom
* DFT formation energy: 35.4 kJ/mol of atoms
* energy: -17.462 eV/cell

[5]
Material: Pr2Sm7In
Method: DFT, PBE
State: optimized geometry

Cell: 5.400 9.368 9.368 Å, 124.50 90.00 90.00°
Element x y z (fractional)
1 Pr 0.500 0.708 0.292
2 Pr 0.500 0.292 0.708
3 Sm 0.000 0.793 0.207
4 Sm 0.000 0.207 0.793
5 Sm 0.500 0.072 0.280
6 Sm 0.500 0.928 0.720
7 Sm 0.500 0.280 0.072
8 Sm 0.500 0.720 0.928
9 Sm 0.500 0.500 0.500
10 In 0.000 0.000 0.000

## Properties
* density: 6.16 g cm⁻³
* N(E_F): 1.135 states/eV per atom
* DFT formation energy: 49.6 kJ/mol of atoms
* energy: -40.194 eV/cell

[6]
Material: ZrFe2NiPb
Method: DFT, PBE
State: optimized geometry

Cell: 4.481 4.749 4.481 Å, 90.00 90.00 90.00°
Site moments in Bohr magnetons follow the coordinates.
Element x y z (fractional)
1 Pb 0.000 0.500 0.000  0.03
2 Ni 0.000 0.000 0.000  0.52
3 Fe 0.000 0.000 0.500  2.95
4 Fe 0.500 0.000 0.000  2.86
5 Zr 0.500 0.500 0.500  -0.32

## Properties
* density: 8.17 g cm⁻³
* N(E_F): 0.757 states/eV per atom
* DFT formation energy: 60.7 kJ/mol of atoms
* energy: -31.819 eV/cell

[7]
Material: Ho8CoPt2
Method: DFT, PBE
State: optimized geometry

Cell: 6.018 7.488 7.488 Å, 111.70 101.55 101.55°
Element x y z (fractional)
1 Ho 0.585 0.343 0.084
2 Ho 0.585 0.084 0.343
3 Ho 0.170 0.353 0.353
4 Ho 0.990 0.201 0.798
5 Ho 0.990 0.798 0.201
6 Ho 0.805 0.649 0.649
7 Ho 0.367 0.926 0.668
8 Ho 0.367 0.668 0.926
9 Co 0.177 0.998 0.998
10 Pt 0.483 0.692 0.323
11 Pt 0.483 0.323 0.692

## Properties
* density: 10.03 g cm⁻³
* polymorph energy (0 for the lowest one): 0.97 eV per formula unit
* N(E_F): 1.023 states/eV per atom
* DFT formation energy: -41.8 kJ/mol of atoms
* energy: -60.578 eV/cell

[8]
Material: LiTb4Ag3
Method: DFT, PBE
State: optimized geometry

Cell: 3.690 5.145 10.319 Å, 90.00 90.00 90.00°
Element x y z (fractional)
1 Tb 0.000 0.000 0.500
2 Tb 0.000 0.500 0.746
3 Tb 0.000 0.000 0.000
4 Tb 0.000 0.500 0.254
5 Ag 0.500 0.000 0.242
6 Ag 0.500 0.500 0.500
7 Ag 0.500 0.000 0.758
8 Li 0.500 0.500 0.000

## Properties
* density: 8.19 g cm⁻³
* N(E_F): 0.657 states/eV per atom
* DFT formation energy: -20.5 kJ/mol of atoms
* energy: -30.692 eV/cell

[9]
Material: YZn2Ru
Method: DFT, PBE
State: optimized geometry

Cell: 5.044 5.044 5.044 Å, 131.44 131.44 71.12°
Element x y z (fractional)
1 Ru 0.500 0.500 0.000
2 Y 0.750 0.250 0.500
3 Zn 0.000 0.000 0.000
4 Zn 0.250 0.750 0.500

## Properties
* density: 7.54 g cm⁻³
* N(E_F): 0.771 states/eV per atom
* DFT formation energy: -9.6 kJ/mol of atoms
* energy: -18.685 eV/cell

[10]
Material: CaB2H8
Method: DFT, PBE
State: optimized geometry

Cell: 6.750 6.750 4.356 Å, 90.00 90.00 90.00°
Element x y z (fractional)
1 Ca 0.500 0.000 0.250
2 Ca 0.000 0.500 0.750
3 B 0.215 0.316 0.250
4 B 0.785 0.684 0.250
5 B 0.316 0.785 0.750
6 B 0.684 0.215 0.750
7 H 0.395 0.321 0.248
8 H 0.605 0.679 0.248
9 H 0.321 0.605 0.752
10 H 0.679 0.395 0.752
11 H 0.152 0.230 0.479
12 H 0.848 0.770 0.479
13 H 0.230 0.848 0.521
14 H 0.770 0.152 0.521
15 H 0.169 0.491 0.251
16 H 0.831 0.509 0.251
17 H 0.491 0.831 0.749
18 H 0.509 0.169 0.749
19 H 0.150 0.229 0.024
20 H 0.850 0.771 0.024
21 H 0.229 0.850 0.976
22 H 0.771 0.150 0.976

## Properties
* density: 1.17 g cm⁻³
* polymorph energy (0 for the lowest one): 0.12 eV per formula unit
* N(E_F): 0.000 states/eV per atom
* energy: -92.442 eV/cell

[11]
Material: Mn3TlPb
Method: DFT, PBE
State: optimized geometry

Cell: 5.098 5.098 5.098 Å, 90.00 90.00 90.00°
Site moments in Bohr magnetons follow the coordinates.
Element x y z (fractional)
1 Pb 0.500 0.500 0.500  -0.20
2 Tl 0.000 0.000 0.000  -0.12
3 Mn 0.000 0.500 0.000  3.96
4 Mn 0.000 0.000 0.500  4.19
5 Mn 0.500 0.000 0.000  3.79

## Properties
* density: 7.22 g cm⁻³
* polymorph energy (0 for the lowest one): 0.00 eV per formula unit
* N(E_F): 0.282 states/eV per atom
* DFT formation energy: 100.8 kJ/mol of atoms
* energy: -28.360 eV/cell

[12]
Material: CdBCl
Method: DFT, PBE
State: optimized geometry

Cell: 10.054 4.127 7.143 Å, 90.00 91.47 90.00°
Element x y z (fractional)
1 B 0.757 0.000 0.929
2 B 0.757 0.500 0.429
3 B 0.907 0.000 0.934
4 B 0.907 0.500 0.434
5 Cl 0.408 0.000 0.582
6 Cl 0.408 0.500 0.082
7 Cl 0.078 0.000 0.941
8 Cl 0.078 0.500 0.441
9 Cd 0.796 0.000 0.597
10 Cd 0.796 0.500 0.097
11 Cd 0.539 0.000 0.921
12 Cd 0.539 0.500 0.421

## Properties
* density: 3.56 g cm⁻³
* polymorph energy (0 for the lowest one): 0.27 eV per formula unit
* N(E_F): 0.070 states/eV per atom
* energy relative to the elements, uncorrected: -31 kJ/mol of formula units
* energy: -39.059 eV/cell

[13]
Material: Nd2ZnIn
Method: DFT, PBE
State: optimized geometry

Cell: 3.743 3.743 7.739 Å, 90.00 90.00 90.00°
Element x y z (fractional)
1 Zn 0.500 0.500 0.000
2 Nd 0.000 0.000 0.769
3 Nd 0.000 0.000 0.231
4 In 0.500 0.500 0.500

## Properties
* density: 7.18 g cm⁻³
* N(E_F): 0.943 states/eV per atom
* DFT formation energy: -38.7 kJ/mol of atoms
* energy: -15.152 eV/cell

[14]
Material: CrIn2Ir
Method: DFT, PBE
State: optimized geometry

Cell: 4.788 4.788 4.790 Å, 125.37 125.37 80.91°
Site moments in Bohr magnetons follow the coordinates.
Element x y z (fractional)
1 Cr 0.250 0.750 0.500  3.36
2 In 0.000 0.000 0.000  -0.05
3 In 0.500 0.500 0.000  -0.05
4 Ir 0.750 0.250 0.500  0.03

## Properties
* density: 11.18 g cm⁻³
* polymorph energy (0 for the lowest one): 0.00 eV per formula unit
* N(E_F): 0.382 states/eV per atom
* DFT formation energy: 6.7 kJ/mol of atoms
* energy: -23.685 eV/cell

[15]
Material: Li2Ac2CuO6
Method: DFT, PBE
State: optimized geometry

Cell: 5.680 5.680 5.846 Å, 60.94 60.94 60.00°
Element x y z (fractional)
1 Li 0.429 0.429 0.714
2 Li 0.571 0.571 0.286
3 Ac 0.771 0.771 0.688
4 Ac 0.229 0.229 0.312
5 Cu 0.000 0.000 0.000
6 O 0.761 0.761 0.253
7 O 0.224 0.761 0.253
8 O 0.761 0.224 0.253
9 O 0.239 0.776 0.747
10 O 0.776 0.239 0.747
11 O 0.239 0.239 0.747

## Properties
* density: 7.70 g cm⁻³
* N(E_F): 0.359 states/eV per atom
* energy relative to the elements, uncorrected: -2107 kJ/mol of formula units
* energy: -67.727 eV/cell

[16]
Material: CaTb2Tm3Te6
Method: DFT, PBE
State: optimized geometry

Cell: 4.349 8.728 9.755 Å, 103.30 102.88 90.00°
Element x y z (fractional)
1 Ca 0.500 0.000 0.000
2 Tb 0.827 0.655 0.654
3 Tb 0.173 0.345 0.346
4 Tm 0.500 0.500 0.000
5 Tm 0.833 0.174 0.665
6 Tm 0.167 0.826 0.335
7 Te 0.332 0.921 0.663
8 Te 0.662 0.586 0.325
9 Te 0.668 0.079 0.337
10 Te 0.001 0.255 0.001
11 Te 0.999 0.745 0.999
12 Te 0.338 0.414 0.675

## Properties
* density: 7.72 g cm⁻³
* N(E_F): 0.475 states/eV per atom
* energy relative to the elements, uncorrected: -1501 kJ/mol of formula units
* energy: -59.088 eV/cell

[17]
Material: TbBeNi
Method: DFT, PBE
State: optimized geometry

Cell: 6.291 6.291 5.552 Å, 90.00 90.00 90.00°
Element x y z (fractional)
1 Be 0.393 0.393 0.000
2 Be 0.607 0.607 0.500
3 Be 0.107 0.893 0.250
4 Be 0.893 0.107 0.750
5 Ni 0.650 0.350 0.750
6 Ni 0.850 0.850 0.500
7 Ni 0.150 0.150 0.000
8 Ni 0.350 0.650 0.250
9 Tb 0.777 0.223 0.250
10 Tb 0.723 0.723 0.000
11 Tb 0.277 0.277 0.500
12 Tb 0.223 0.777 0.750

## Properties
* density: 6.85 g cm⁻³
* polymorph energy (0 for the lowest one): 0.86 eV per formula unit
* N(E_F): 0.714 states/eV per atom
* DFT formation energy: 1.8 kJ/mol of atoms
* energy: -56.323 eV/cell

[18]
Material: Nb3PdS
Method: DFT, PBE
State: optimized geometry

Cell: 3.323 7.223 6.954 Å, 99.76 90.00 90.00°
Element x y z (fractional)
1 Nb 0.750 0.515 0.174
2 Nb 0.250 0.152 0.136
3 Nb 0.750 0.915 0.348
4 Nb 0.250 0.485 0.826
5 Nb 0.250 0.085 0.652
6 Nb 0.750 0.848 0.864
7 Pd 0.750 0.334 0.484
8 Pd 0.250 0.666 0.516
9 S 0.250 0.766 0.103
10 S 0.750 0.234 0.897

## Properties
* density: 8.42 g cm⁻³
* polymorph energy (0 for the lowest one): 0.00 eV per formula unit
* N(E_F): 0.703 states/eV per atom
* energy relative to the elements, uncorrected: -185 kJ/mol of formula units
* energy: -82.885 eV/cell

[19]
Material: MnFe2Os2
Method: DFT, PBE
State: optimized geometry

Cell: 6.908 6.908 2.648 Å, 90.00 90.00 90.00°
Element x y z (fractional)
1 Mn 0.000 0.000 0.000
2 Mn 0.500 0.500 0.000
3 Os 0.176 0.676 0.500
4 Os 0.676 0.824 0.500
5 Os 0.824 0.324 0.500
6 Os 0.324 0.176 0.500
7 Fe 0.380 0.880 0.000
8 Fe 0.880 0.620 0.000
9 Fe 0.620 0.120 0.000
10 Fe 0.120 0.380 0.000

## Properties
* density: 14.38 g cm⁻³
* polymorph energy (0 for the lowest one): 0.00 eV per formula unit
* N(E_F): 1.137 states/eV per atom
* DFT formation energy: 32.3 kJ/mol of atoms
* energy: -93.761 eV/cell

[20]
Material: NpNi3As2
Method: DFT, PBE
State: optimized geometry

Cell: 3.931 7.373 7.376 Å, 65.59 74.55 74.54°
Site moments in Bohr magnetons follow the coordinates.
Element x y z (fractional)
1 Np 0.884 0.116 0.116  3.26
2 Np 0.116 0.884 0.884  3.26
3 Ni 0.311 0.496 0.881  -0.06
4 Ni 0.000 0.352 0.648  -0.07
5 Ni 0.689 0.119 0.504  -0.06
6 Ni 0.311 0.881 0.496  -0.06
7 Ni 0.000 0.648 0.352  -0.07
8 Ni 0.689 0.504 0.119  -0.06
9 As 0.500 0.205 0.795  -0.06
10 As 0.500 0.795 0.205  -0.06
11 As 0.818 0.682 0.682  0.00
12 As 0.182 0.318 0.318  0.00

## Properties
* density: 10.12 g cm⁻³
* polymorph energy (0 for the lowest one): 0.83 eV per formula unit
* N(E_F): 1.498 states/eV per atom
* DFT formation energy: -25.0 kJ/mol of atoms
* energy: -82.278 eV/cell